! PBE-GGA YPBrO2, relaxed; values from VASP
&SYSTEM
  ibrav = 0, nat = 5, ntyp = 4
/
ATOMIC_SPECIES
O 16.00 O.upf
Y 88.91 Y.upf
Br 79.90 Br.upf
P 30.97 P.upf
CELL_PARAMETERS angstrom
4.2521 0.0000 0.0000
0.0000 4.2521 0.0000
0.0000 0.0000 6.2957
ATOMIC_POSITIONS crystal
O 0.0000 0.5000 0.0000
O 0.5000 0.0000 0.0000
Y 0.0000 0.0000 0.0000
Br 0.5000 0.5000 0.5000
P 0.0000 0.0000 0.5000
! DOS(E_F) in states/eV per atom: 0.675
! Formation energy without anion corrections in meV per atom: -724
! E above lowest polymorph in meV/atom: 0